Below is a geometry-optimized CoBiPt structure, with properties calculated at the PBE-GGA level.

Cell lengths 7.559, 7.559, 3.355 Å; angles 90.00, 90.00, 120.00 degrees
Last column: magnetic moment on the atom in μB.
Fractional positions:
Co 0.000 0.615 0.500  1.59
Co 0.615 0.000 0.500  1.68
Co 0.385 0.385 0.500  1.72
Bi 0.705 0.705 0.000  -0.01
Bi 0.000 0.295 0.000  -0.02
Bi 0.295 0.000 0.000  -0.01
Pt 0.000 0.000 0.500  0.03
Pt 0.333 0.667 0.000  0.10
Pt 0.667 0.333 0.000  0.10

Calculated values
energy relative to the lowest polymorph listed for this composition: 211 meV per atom
V: 18.44 A^3/atom
SG: No. 189
calculated density: 13.9 g/cm3
size of the total moment: 1.69 μB per formula unit

Below is a geometry-optimized CoBiPt structure, with properties calculated at the PBE-GGA level.

Cell lengths 7.597, 7.597, 3.193 Å; angles 90.00, 90.00, 120.00 degrees
Last column: magnetic moment on the atom in μB.
Fractional positions:
Bi 0.000 0.000 0.500  -0.01
Bi 0.667 0.333 0.000  -0.02
Bi 0.333 0.667 0.000  -0.02
Co 0.635 0.000 0.500  1.14
Co 0.000 0.635 0.500  1.09
Co 0.365 0.365 0.500  1.15
Pt 0.303 0.000 0.000  -0.01
Pt 0.697 0.697 0.000  0.00
Pt 0.000 0.303 0.000  -0.01

Calculated values
energy relative to the lowest polymorph listed for this composition: 267 meV per atom
V: 17.73 A^3/atom
SG: No. 189
calculated density: 14.5 g/cm3
size of the total moment: 1.06 μB per formula unit

Below is a geometry-optimized CoBiPt structure, with properties calculated at the PBE-GGA level.

Cell lengths 4.671, 4.671, 5.767 Å; angles 90.00, 90.00, 120.00 degrees
Last column: magnetic moment on the atom in μB.
Fractional positions:
Bi 0.333 0.667 0.507  -0.01
Bi 0.667 0.333 0.007  -0.01
Co 0.000 0.000 0.737  1.58
Co 0.000 0.000 0.237  1.65
Pt 0.667 0.333 0.506  0.09
Pt 0.333 0.667 0.006  0.09

Calculated values
energy relative to the lowest polymorph listed for this composition: 181 meV per atom
V: 18.16 A^3/atom
SG: No. 186
calculated density: 14.1 g/cm3
size of the total moment: 1.64 μB per formula unit

Below is a geometry-optimized CoBiPt structure, with properties calculated at the PBE-GGA level.

Cell lengths 4.589, 4.589, 5.690 Å; angles 90.00, 90.00, 120.00 degrees
Last column: magnetic moment on the atom in μB.
Fractional positions:
Co 0.333 0.667 0.750  1.05
Co 0.667 0.333 0.250  1.05
Bi 0.667 0.333 0.750  -0.02
Bi 0.333 0.667 0.250  -0.02
Pt 0.000 0.000 0.000  0.10
Pt 0.000 0.000 0.500  0.10

Calculated values
energy relative to the lowest polymorph listed for this composition: 110 meV per atom
V: 17.29 A^3/atom
SG: No. 194
calculated density: 14.8 g/cm3
size of the total moment: 1.10 μB per formula unit

Below is a geometry-optimized CoBiPt structure, with properties calculated at the PBE-GGA level.

Cell lengths 4.330, 4.330, 4.330 Å; angles 60.00, 60.00, 60.00 degrees
Last column: magnetic moment on the atom in μB.
Fractional positions:
Co 0.250 0.250 0.250  1.25
Pt 0.500 0.500 0.500  0.17
Bi 0.000 0.000 0.000  -0.04

Calculated values
energy relative to the lowest polymorph listed for this composition: 0 meV per atom
V: 19.14 A^3/atom
SG: No. 216
calculated density: 13.4 g/cm3
size of the total moment: 1.37 μB per formula unit

Below is a geometry-optimized Co2BiPt structure, with properties calculated at the PBE-GGA level.

Cell lengths 4.447, 4.447, 4.447 Å; angles 60.00, 60.00, 60.00 degrees
Last column: magnetic moment on the atom in μB.
Fractional positions:
Pt 0.250 0.250 0.250  0.12
Bi 0.500 0.500 0.500  0.00
Co 0.750 0.750 0.750  1.49
Co 0.000 0.000 0.000  1.61

Calculated values
V: 15.54 A^3/atom
final energy: -22.69 eV for the cell shown
SG: No. 216
calculated density: 13.9 g/cm3
size of the total moment: 3.17 μB per formula unit

Below is a geometry-optimized CoBiPt2 structure, with properties calculated at the PBE-GGA level.

Cell lengths 4.571, 4.571, 4.571 Å; angles 60.00, 60.00, 60.00 degrees
Last column: magnetic moment on the atom in μB.
Fractional positions:
Co 0.250 0.250 0.250  1.54
Pt 0.000 0.000 0.000  0.06
Pt 0.750 0.750 0.750  0.06
Bi 0.500 0.500 0.500  -0.01

Calculated values
V: 16.88 A^3/atom
final energy: -22.50 eV for the cell shown
SG: No. 216
calculated density: 16.2 g/cm3
size of the total moment: 1.61 μB per formula unit

Below is a geometry-optimized CoReBiPt structure, with properties calculated at the PBE-GGA level.

Cell lengths 4.547, 4.547, 4.547 Å; angles 60.00, 60.00, 60.00 degrees
Fractional positions:
Re 0.250 0.250 0.250
Bi 0.000 0.000 0.000
Pt 0.500 0.500 0.500
Co 0.750 0.750 0.750

Calculated values
energy relative to the lowest polymorph listed for this composition: 0 meV per atom
V: 16.62 A^3/atom
SG: No. 216
calculated density: 16.2 g/cm3
size of the total moment: 1.94 μB per formula unit

Below is a geometry-optimized CoReBiPt structure, with properties calculated at the PBE-GGA level.

Cell lengths 4.602, 4.602, 4.602 Å; angles 60.00, 60.00, 60.00 degrees
Last column: magnetic moment on the atom in μB.
Fractional positions:
Bi 0.000 0.000 0.000  0.01
Co 0.750 0.750 0.750  1.15
Pt 0.250 0.250 0.250  0.09
Re 0.500 0.500 0.500  1.60

Calculated values
energy relative to the lowest polymorph listed for this composition: 175 meV per atom
V: 17.23 A^3/atom
SG: No. 216
calculated density: 15.6 g/cm3
size of the total moment: 2.96 μB per formula unit

Below is a geometry-optimized ScCoBiPt structure, with properties calculated at the PBE-GGA level.

Cell lengths 4.659, 4.659, 4.659 Å; angles 60.00, 60.00, 60.00 degrees
Last column: magnetic moment on the atom in μB.
Fractional positions:
Bi 0.000 0.000 0.000  0.00
Sc 0.250 0.250 0.250  0.01
Pt 0.500 0.500 0.500  0.00
Co 0.750 0.750 0.750  -0.14

Calculated values
energy relative to the lowest polymorph listed for this composition: 124 meV per atom
V: 17.88 A^3/atom
SG: No. 216
calculated density: 11.8 g/cm3
size of the total moment: 0.12 μB per formula unit

Below is a geometry-optimized ScCoBiPt structure, with properties calculated at the PBE-GGA level.

Cell lengths 4.683, 4.683, 4.683 Å; angles 60.00, 60.00, 60.00 degrees
Fractional positions:
Pt 0.250 0.250 0.250
Sc 0.500 0.500 0.500
Bi 0.000 0.000 0.000
Co 0.750 0.750 0.750

Calculated values
energy relative to the lowest polymorph listed for this composition: 0 meV per atom
V: 18.16 A^3/atom
SG: No. 216
calculated density: 11.6 g/cm3
size of the total moment: 1.15 μB per formula unit

Below is a geometry-optimized TaCoBiPt structure, with properties calculated at the PBE-GGA level.

Cell lengths 4.601, 4.601, 4.601 Å; angles 60.00, 60.00, 60.00 degrees
Last column: magnetic moment on the atom in μB.
Fractional positions:
Ta 0.250 0.250 0.250  -0.12
Pt 0.500 0.500 0.500  0.00
Co 0.750 0.750 0.750  0.87
Bi 0.000 0.000 0.000  0.00

Calculated values
energy relative to the lowest polymorph listed for this composition: 0 meV per atom
V: 17.22 A^3/atom
SG: No. 216
calculated density: 15.5 g/cm3
size of the total moment: 0.67 μB per formula unit

Below is a geometry-optimized TaCoBiPt structure, with properties calculated at the PBE-GGA level.

Cell lengths 4.643, 4.643, 4.643 Å; angles 60.00, 60.00, 60.00 degrees
Last column: magnetic moment on the atom in μB.
Fractional positions:
Co 0.750 0.750 0.750  -0.07
Ta 0.500 0.500 0.500  0.03
Pt 0.250 0.250 0.250  0.01
Bi 0.000 0.000 0.000  0.00

Calculated values
energy relative to the lowest polymorph listed for this composition: 13 meV per atom
V: 17.69 A^3/atom
SG: No. 216
calculated density: 15.1 g/cm3
size of the total moment: 0.02 μB per formula unit

Below is a geometry-optimized CoTcBiPt structure, with properties calculated at the PBE-GGA level.

Cell lengths 4.520, 4.520, 4.520 Å; angles 60.00, 60.00, 60.00 degrees
Last column: magnetic moment on the atom in μB.
Fractional positions:
Pt 0.500 0.500 0.500  0.16
Bi 0.000 0.000 0.000  -0.01
Co 0.750 0.750 0.750  1.38
Tc 0.250 0.250 0.250  0.53

Calculated values
energy relative to the lowest polymorph listed for this composition: 0 meV per atom
V: 16.33 A^3/atom
SG: No. 216
calculated density: 14.3 g/cm3
size of the total moment: 2.04 μB per formula unit